Record 1
This record from Alexandria via LeMat-Bulk describes Li2ZnPb after structural relaxation. The functional is PBE.

The structure belongs to space group I4/mmm (No. 139); the cell edges are 4.328, 4.328 and 8.028 Å and the angles 90.00°, 90.00° and 90.00°. Symmetry generates all atoms from Li at (0.000, 0.500, 0.250), Zn at (0.000, 0.000, 0.000) and Pb at (0.000, 0.000, 0.500).

The formation energy from the elements comes out at -0.202 eV per atom. The calculation puts the total magnetic moment at 0.0 μB per cell. The volume is 18.80 Å³/atom.



Record 2
This record from Alexandria via LeMat-Bulk describes Y2ZrAg after structural relaxation. The functional is PBE.

The structure belongs to space group Pmmm (No. 47); the cell edges are 3.555, 5.215 and 5.441 Å and the angles 90.00°, 90.00° and 90.00°. Symmetry generates all atoms from Y at (0.000, 0.000, 0.000), Y at (0.500, 0.000, 0.500), Zr at (0.000, 0.500, 0.500) and Ag at (0.500, 0.500, 0.000).

The formation energy from the elements comes out at 0.148 eV per atom. For the distance to the lowest polymorph of the same formula, the calculation gives 262 meV per atom. The calculation puts the total magnetic moment at 0.0 μB per cell. The volume is 25.22 Å³/atom.



Record 3
This record from Alexandria via LeMat-Bulk describes LaBe2Pt after structural relaxation. The functional is PBE.

The structure belongs to space group Cm (No. 8); the cell edges are 6.944, 4.028 and 5.632 Å and the angles 90.00°, 111.53° and 90.00°. Symmetry generates all atoms from La at (0.000, 0.000, 0.000), Be at (0.189, 0.000, 0.554), Be at (0.493, 0.000, 0.471) and Pt at (0.317, 0.500, 0.439).

The formation energy from the elements comes out at -0.559 eV per atom. The calculation puts the total magnetic moment at 0.0 μB per cell. The volume is 18.32 Å³/atom.



Number 1: raw total energy -2.405 eV/atom, DOS(E_F) 2.011 states/eV per cell, calculated density 6.326 g/cm3. Number 2: raw total energy -5.934 eV/atom, DOS(E_F) 6.039 states/eV per cell, calculated density 6.204 g/cm3. Number 3: raw total energy -5.165 eV/atom, DOS(E_F) 4.328 states/eV per cell, calculated density 7.978 g/cm3.